Entry 1:
This record from the Open Quantum Materials Database describes an optimized crystal structure of ErTmAg. The functional is PBE-GGA.

Cell lengths 4.8637, 4.8637, 4.8637 Å; angles 60.00, 60.00, 60.00 degrees
Closest atoms and distances in Å follow each position.
Fractional coordinates of all 3 atoms:
1 Er 0.0000 0.0000 0.0000  4 Tm 2.98
2 Tm 0.7500 0.7500 0.7500  4 Er 2.98, 4 Ag 2.98
3 Ag 0.5000 0.5000 0.5000  4 Tm 2.98

**Energy relative to the elements**: 0.595 eV/atom
**Calculated total energy**: -0.2469 Ry/atom
**Symmetry**: F-43m, No. 216
**Crystal system**: cubic

=====

Entry 2:
This record from the Open Quantum Materials Database describes an optimized crystal structure of AlTeOs2. The functional is PBE-GGA.

Cell lengths 4.5607, 4.5607, 4.5607 Å; angles 60.00, 60.00, 60.00 degrees
Closest atoms and distances in Å follow each position.
Fractional coordinates of all 4 atoms:
1 Al 0.0000 0.0000 0.0000  4 Te 2.79, 4 Os 2.79
2 Te 0.7500 0.7500 0.7500  4 Os 2.79, 4 Al 2.79
3 Os 0.2500 0.2500 0.2500  4 Os 2.79, 4 Al 2.79
4 Os 0.5000 0.5000 0.5000  4 Os 2.79, 4 Te 2.79

**Calculated total energy**: -0.4773 Ry/atom
**Symmetry**: F-43m, No. 216
**Crystal system**: cubic

=====

Entry 3:
This record from the Open Quantum Materials Database describes an optimized crystal structure of Cu2Ag3. The functional is PBE-GGA.

Cell lengths 4.8865, 4.8865, 8.9112 Å; angles 90.07, 90.07, 47.18 degrees
Closest atoms and distances in Å follow each position.
Fractional coordinates of all 10 atoms:
1 Cu 0.1560 0.1560 0.4546  6 Cu 2.61-2.91, 6 Ag 2.69-2.87
2 Cu 0.2563 0.2563 0.7299  3 Cu 2.61-2.67, 7 Ag 2.75-2.91
3 Cu 0.7437 0.7437 0.2701  3 Cu 2.61-2.67, 7 Ag 2.75-2.91
4 Cu 0.8440 0.8440 0.5454  6 Cu 2.61-2.91, 6 Ag 2.69-2.87
5 Ag 0.0537 0.0537 0.1641  4 Cu 2.74-2.93, 7 Ag 2.80-2.89
6 Ag 0.3486 0.3486 0.0534  9 Ag 2.80-2.89, 3 Cu 2.91-3.00
7 Ag 0.4409 0.4409 0.3587  8 Cu 2.69-2.87, 4 Ag 2.73-2.84
8 Ag 0.5591 0.5591 0.6413  8 Cu 2.69-2.87, 4 Ag 2.73-2.84
9 Ag 0.6514 0.6514 0.9466  9 Ag 2.80-2.89, 3 Cu 2.91-3.00
10 Ag 0.9463 0.9463 0.8359  4 Cu 2.74-2.93, 7 Ag 2.80-2.89

**Energy relative to the elements**: 0.087 eV/atom
**Calculated total energy**: -0.2274 Ry/atom
**Symmetry**: C2/m, No. 12
**Energy above the lowest structure with this stoichiometry**: 55 meV per atom
**Crystal system**: monoclinic

=====

Entry 4:
This record from the Open Quantum Materials Database describes an optimized crystal structure of Y2ZrTa. The functional is PBE-GGA.

Cell lengths 5.1801, 5.1801, 5.1801 Å; angles 60.00, 60.00, 60.00 degrees
Closest atoms and distances in Å follow each position.
Fractional coordinates of all 4 atoms:
1 Y 0.0000 0.0000 0.0000  4 Zr 3.17, 4 Y 3.17
2 Y 0.2500 0.2500 0.2500  4 Ta 3.17, 4 Y 3.17
3 Zr 0.7500 0.7500 0.7500  4 Ta 3.17, 4 Y 3.17
4 Ta 0.5000 0.5000 0.5000  4 Zr 3.17, 4 Y 3.17

**Energy relative to the elements**: 0.374 eV/atom
**Calculated total energy**: -0.5849 Ry/atom
**Symmetry**: F-43m, No. 216
**Crystal system**: cubic

=====

Entry 5:
This record from the Open Quantum Materials Database describes an optimized crystal structure of SmErPu. The functional is PBE-GGA.

Cell lengths 5.2072, 5.2072, 5.2072 Å; angles 60.00, 60.00, 60.00 degrees
Closest atoms and distances in Å follow each position.
Fractional coordinates of all 3 atoms:
1 Sm 0.0000 0.0000 0.0000  4 Pu 3.19
2 Er 0.5000 0.5000 0.5000  4 Pu 3.19
3 Pu 0.7500 0.7500 0.7500  4 Er 3.19, 4 Sm 3.19

**Energy relative to the elements**: 0.808 eV/atom
**Calculated total energy**: -0.5139 Ry/atom
**Symmetry**: F-43m, No. 216
**Energy above the lowest structure with this stoichiometry**: 0 meV per atom
**Crystal system**: cubic

=====

Entry 6:
This record from the Open Quantum Materials Database describes an optimized crystal structure of GdYSe2F2. The functional is PBE-GGA.

Cell lengths 3.8695, 3.8695, 7.0454 Å; angles 90.00, 90.00, 90.00 degrees
Closest atoms and distances in Å follow each position.
Fractional coordinates of all 6 atoms:
1 Gd 0.0000 0.0000 0.0000  4 F 2.46
2 Y 0.5000 0.5000 0.4336  4 F 2.47
3 Se 0.0000 0.0000 0.5736  4 Y 2.91, 1 Gd 3.00, 4 F 3.18
4 Se 0.5000 0.5000 0.8554  4 Gd 2.92, 1 Y 2.97, 4 F 3.19
5 F 0.0000 0.5000 0.2161  2 Gd 2.46, 2 Y 2.47, 4 F 2.74
6 F 0.5000 0.0000 0.2161  2 Gd 2.46, 2 Y 2.47, 4 F 2.74

**Calculated total energy**: -0.4778 Ry/atom
**Symmetry**: P4mm, No. 99
**Crystal system**: tetragonal

=====

Entry 7:
This record from the Open Quantum Materials Database describes an optimized crystal structure of Sc2NbCu. The functional is PBE-GGA.

Cell lengths 4.7037, 4.7037, 4.7037 Å; angles 60.00, 60.00, 60.00 degrees
Closest atoms and distances in Å follow each position.
Fractional coordinates of all 4 atoms:
1 Sc 0.0000 0.0000 0.0000  4 Cu 2.88, 4 Sc 2.88
2 Sc 0.2500 0.2500 0.2500  4 Nb 2.88, 4 Sc 2.88
3 Nb 0.5000 0.5000 0.5000  4 Cu 2.88, 4 Sc 2.88
4 Cu 0.7500 0.7500 0.7500  4 Nb 2.88, 4 Sc 2.88

**Energy relative to the elements**: 0.273 eV/atom
**Calculated total energy**: -0.4663 Ry/atom
**Symmetry**: F-43m, No. 216
**Crystal system**: cubic

=====

Entry 8:
This record from the Open Quantum Materials Database describes an optimized crystal structure of DyY2Al3Cu2Pd. The functional is PBE-GGA.

Cell lengths 4.0904, 7.0572, 7.0572 Å; angles 119.85, 90.00, 90.00 degrees
Closest atoms and distances in Å follow each position.
Fractional coordinates of all 9 atoms:
1 Dy 0.0000 0.0000 0.0000  4 Cu 2.93, 1 Pd 2.95, 2 Al 3.17
2 Y 0.0000 0.4183 0.8372  4 Cu 2.95, 1 Pd 2.96, 6 Al 3.16-3.28
3 Y 0.0000 0.8372 0.4183  4 Cu 2.95, 1 Pd 2.96, 6 Al 3.16-3.28
4 Al 0.5000 0.1791 0.4188  2 Pd 2.65, 2 Cu 2.75-2.76, 2 Al 2.93
5 Al 0.5000 0.4188 0.1791  2 Pd 2.65, 2 Cu 2.75-2.76, 2 Al 2.93
6 Al 0.5000 0.6575 0.6575  2 Pd 2.66, 2 Cu 2.74, 2 Al 2.93
7 Cu 0.5000 0.0843 0.7533  3 Al 2.74-2.76, 2 Dy 2.93, 4 Y 2.95
8 Cu 0.5000 0.7533 0.0843  3 Al 2.74-2.76, 2 Dy 2.93, 4 Y 2.95
9 Pd 0.0000 0.4169 0.4169  6 Al 2.65-2.66, 1 Dy 2.95, 2 Y 2.96

**Calculated total energy**: -0.3809 Ry/atom
**Symmetry**: Amm2, No. 38
**Crystal system**: orthorhombic

=====

Entry 9:
This record from the Open Quantum Materials Database describes an optimized crystal structure of Dy2Tm2O5. The functional is PBE-GGA.

Cell lengths 3.8768, 3.8768, 9.2942 Å; angles 90.00, 90.00, 90.00 degrees
Closest atoms and distances in Å follow each position.
Fractional coordinates of all 9 atoms:
1 Dy 0.0000 0.0000 0.2417  5 O 2.15-2.40
2 Dy 0.0000 0.0000 0.7583  5 O 2.15-2.40
3 Tm 0.5000 0.5000 0.0000  8 O 2.35
4 Tm 0.5000 0.5000 0.5000  4 O 2.74
5 O 0.0000 0.0000 0.5000  2 Dy 2.40
6 O 0.0000 0.5000 0.1420  2 Dy 2.15, 2 Tm 2.35
7 O 0.0000 0.5000 0.8580  2 Dy 2.15, 2 Tm 2.35
8 O 0.5000 0.0000 0.1420  2 Dy 2.15, 2 Tm 2.35
9 O 0.5000 0.0000 0.8580  2 Dy 2.15, 2 Tm 2.35

**Calculated total energy**: -0.5620 Ry/atom
**Symmetry**: P4/mmm, No. 123
**Energy above the lowest structure with this stoichiometry**: 55 meV per atom
**Crystal system**: tetragonal

=====

Entry 10:
This record from the Open Quantum Materials Database describes an optimized crystal structure of ZrCuPd. The functional is PBE-GGA.

Cell lengths 4.3480, 4.3480, 4.3480 Å; angles 60.00, 60.00, 60.00 degrees
Closest atoms and distances in Å follow each position.
Fractional coordinates of all 3 atoms:
1 Zr 0.0000 0.0000 0.0000  4 Pd 2.66
2 Cu 0.5000 0.5000 0.5000  4 Pd 2.66
3 Pd 0.7500 0.7500 0.7500  4 Zr 2.66, 4 Cu 2.66

**Energy relative to the elements**: -0.125 eV/atom
**Calculated total energy**: -0.4365 Ry/atom
**Symmetry**: F-43m, No. 216
**Energy above the lowest structure with this stoichiometry**: 370 meV per atom
**Crystal system**: cubic

=====

Entry 11:
This record from the Open Quantum Materials Database describes an optimized crystal structure of ScGaCuIr. The functional is PBE-GGA.

Cell lengths 4.4506, 4.4506, 4.4506 Å; angles 60.00, 60.00, 60.00 degrees
Closest atoms and distances in Å follow each position.
Fractional coordinates of all 4 atoms:
1 Sc 0.0000 0.0000 0.0000  4 Ir 2.73, 4 Ga 2.73
2 Ga 0.2500 0.2500 0.2500  4 Cu 2.73, 4 Sc 2.73
3 Cu 0.5000 0.5000 0.5000  4 Ga 2.73, 4 Ir 2.73
4 Ir 0.7500 0.7500 0.7500  4 Cu 2.73, 4 Sc 2.73

**Calculated total energy**: -0.4280 Ry/atom
**Symmetry**: F-43m, No. 216
**Energy above the lowest structure with this stoichiometry**: 206 meV per atom
**Crystal system**: cubic

=====

Entry 12:
This record from the Open Quantum Materials Database describes an optimized crystal structure of LiCu. The functional is PBE-GGA.

Cell lengths 4.9525, 4.9525, 4.9525 Å; angles 58.88, 58.88, 58.88 degrees
Closest atoms and distances in Å follow each position.
Fractional coordinates of all 6 atoms:
1 Li 0.0000 0.0000 0.0000  6 Cu 2.48
2 Li 0.3815 0.3815 0.3815  9 Cu 2.83-2.98, 7 Li 2.87-3.05
3 Li 0.6185 0.6185 0.6185  9 Cu 2.83-2.98, 7 Li 2.87-3.05
4 Cu 0.0000 0.0000 0.5000  4 Cu 2.43, 2 Li 2.48
5 Cu 0.0000 0.5000 0.0000  4 Cu 2.43, 2 Li 2.48
6 Cu 0.5000 0.0000 0.0000  4 Cu 2.43, 2 Li 2.48

**Calculated total energy**: -0.2100 Ry/atom
**Symmetry**: R-3m, No. 166
**Crystal system**: trigonal

=====

Repeat the second record exactly.
This record from the Open Quantum Materials Database describes an optimized crystal structure of AlTeOs2. The functional is PBE-GGA.

Cell lengths 4.5607, 4.5607, 4.5607 Å; angles 60.00, 60.00, 60.00 degrees
Closest atoms and distances in Å follow each position.
Fractional coordinates of all 4 atoms:
1 Al 0.0000 0.0000 0.0000  4 Te 2.79, 4 Os 2.79
2 Te 0.7500 0.7500 0.7500  4 Os 2.79, 4 Al 2.79
3 Os 0.2500 0.2500 0.2500  4 Os 2.79, 4 Al 2.79
4 Os 0.5000 0.5000 0.5000  4 Os 2.79, 4 Te 2.79

**Calculated total energy**: -0.4773 Ry/atom
**Symmetry**: F-43m, No. 216
**Crystal system**: cubic

=====

Copy entry 3 word for word.
This record from the Open Quantum Materials Database describes an optimized crystal structure of Cu2Ag3. The functional is PBE-GGA.

Cell lengths 4.8865, 4.8865, 8.9112 Å; angles 90.07, 90.07, 47.18 degrees
Closest atoms and distances in Å follow each position.
Fractional coordinates of all 10 atoms:
1 Cu 0.1560 0.1560 0.4546  6 Cu 2.61-2.91, 6 Ag 2.69-2.87
2 Cu 0.2563 0.2563 0.7299  3 Cu 2.61-2.67, 7 Ag 2.75-2.91
3 Cu 0.7437 0.7437 0.2701  3 Cu 2.61-2.67, 7 Ag 2.75-2.91
4 Cu 0.8440 0.8440 0.5454  6 Cu 2.61-2.91, 6 Ag 2.69-2.87
5 Ag 0.0537 0.0537 0.1641  4 Cu 2.74-2.93, 7 Ag 2.80-2.89
6 Ag 0.3486 0.3486 0.0534  9 Ag 2.80-2.89, 3 Cu 2.91-3.00
7 Ag 0.4409 0.4409 0.3587  8 Cu 2.69-2.87, 4 Ag 2.73-2.84
8 Ag 0.5591 0.5591 0.6413  8 Cu 2.69-2.87, 4 Ag 2.73-2.84
9 Ag 0.6514 0.6514 0.9466  9 Ag 2.80-2.89, 3 Cu 2.91-3.00
10 Ag 0.9463 0.9463 0.8359  4 Cu 2.74-2.93, 7 Ag 2.80-2.89

**Energy relative to the elements**: 0.087 eV/atom
**Calculated total energy**: -0.2274 Ry/atom
**Symmetry**: C2/m, No. 12
**Energy above the lowest structure with this stoichiometry**: 55 meV per atom
**Crystal system**: monoclinic

=====

Question: Among the records above, which one has the highest calculated total energy?
Answer: LiCu